PBE KGaTe2I, relaxed; energy = -13.754 eV/f.u.; crystal system = tetragonal; uncorrected formation energy = -359 meV/atom
1.0
5.432 0.000 0.000
0.000 5.432 0.000
0.000 0.000 6.350
K Ga Te I
1 1 2 1
Cartesian
0.000 0.000 0.000
2.716 2.716 3.175
0.000 2.716 3.175
2.716 0.000 3.175
2.716 2.716 0.000